# 1
An optimized crystal structure of Ca2AsBr. Source: the Alexandria database, functional GGA-PBEsol.

Results
Theoretical density   3.73 g/cm3
Crystal system   tetragonal
Formation energy (no corrections)   -1.480 eV per atom
Space group   P4/mmm, No. 123
Raw total energy   -17.2 eV per cell
V   105 Å³ per cell

Lattice parameters (Å, degrees): 4.244 4.244 5.807 90.00 90.00 90.00
Element x y z (fractional)
Br: 0.500 0.500 0.500
Ca: 0.000 0.000 0.500
Ca: 0.500 0.500 0.000
As: 0.000 0.000 0.000

# 2
An optimized crystal structure of LaAl5Ni2. Source: the Alexandria database, functional GGA-PBEsol.

Results
Theoretical density   4.85 g/cm3
Crystal system   orthorhombic
Formation enthalpy at 0 K   -0.604 eV/atom
Space group   Immm, No. 71
Raw total energy   -43.0 eV per cell
V   134 Å³ per cell

Lattice parameters (Å, degrees): 3.995 6.261 6.261 67.87 71.40 71.40
Element x y z (fractional)
Al: 0.659 0.151 0.530
Al: 0.341 0.849 0.470
Al: 0.000 0.500 0.500
Al: 0.341 0.470 0.849
Al: 0.659 0.530 0.151
Ni: 0.763 0.737 0.737
Ni: 0.237 0.263 0.263
La: 0.000 0.000 0.000

# 3
An optimized crystal structure of AgSb2Os. Source: the Alexandria database, functional GGA-PBEsol.

Results
Theoretical density   11.64 g/cm3
Crystal system   orthorhombic
Formation energy (no corrections)   0.458 eV per atom
Space group   Pmm2, No. 25
Raw total energy   -22.8 eV per cell
V   77 Å³ per cell

Lattice parameters (Å, degrees): 3.170 4.241 5.749 90.00 90.00 90.00
Element x y z (fractional)
Ag: 0.000 0.000 0.473
Sb: 0.000 0.000 0.938
Sb: 0.500 0.500 0.306
Os: 0.500 0.500 0.783

# 4
An optimized crystal structure of CrIrO4. Source: the Alexandria database, functional GGA-PBEsol.

Results
Theoretical density   8.54 g/cm3
Crystal system   orthorhombic
Formation energy (no corrections)   -1.357 eV per atom
Space group   Cmmm, No. 65
Raw total energy   -49.2 eV per cell
V   60 Å³ per cell

Lattice parameters (Å, degrees): 3.039 4.441 4.441 90.15 90.00 90.00
Site moments in Bohr magnetons follow the coordinates.
Element x y z (fractional)
O: 0.500 0.300 0.700  -0.06
O: 0.000 0.189 0.189  -0.07
O: 0.500 0.700 0.300  -0.06
O: 0.000 0.811 0.811  -0.07
Cr: 0.500 0.000 0.000  1.99
Ir: 0.000 0.500 0.500  -0.27

# 5
An optimized crystal structure of AgHOs2Pd. Source: the Alexandria database, functional GGA-PBEsol.

Results
Theoretical density   13.85 g/cm3
Crystal system   tetragonal
Space group   P4/mmm, No. 123
Raw total energy   -29.1 eV per cell
V   71 Å³ per cell

Lattice parameters (Å, degrees): 2.856 5.000 5.000 90.00 90.00 90.00
Site moments in Bohr magnetons follow the coordinates.
Element x y z (fractional)
H: 0.500 0.000 0.000  0.00
Pd: 0.000 0.000 0.000  0.15
Os: 0.000 0.000 0.500  0.71
Os: 0.000 0.500 0.000  0.71
Ag: 0.500 0.500 0.500  0.02

# 6
An optimized crystal structure of NaV2P2O9. Source: the Alexandria database, functional GGA-PBEsol.

Results
Theoretical density   3.31 g/cm3
Crystal system   orthorhombic
Formation energy (no corrections)   -2.292 eV per atom
Space group   Pnma, No. 62
Raw total energy   -446.4 eV per cell
V   663 Å³ per cell

Lattice parameters (Å, degrees): 6.313 7.553 13.902 90.00 90.00 90.00
Site moments in Bohr magnetons follow the coordinates.
Element x y z (fractional)
O: 0.444 0.359 0.873  -0.01
O: 0.050 0.915 0.870  -0.01
O: 0.250 0.040 0.725  -0.01
O: 0.450 0.915 0.870  -0.01
O: 0.556 0.859 0.627  -0.01
O: 0.250 0.165 0.990  -0.02
O: 0.750 0.275 0.253  0.00
O: 0.750 0.358 0.451  -0.09
O: 0.550 0.085 0.130  -0.01
O: 0.056 0.141 0.373  -0.01
O: 0.056 0.359 0.873  -0.01
O: 0.250 0.642 0.549  -0.09
O: 0.750 0.225 0.753  0.00
O: 0.750 0.960 0.275  -0.01
O: 0.250 0.335 0.490  -0.02
O: 0.750 0.994 0.484  -0.01
O: 0.950 0.415 0.630  -0.01
O: 0.250 0.006 0.516  -0.01
O: 0.250 0.725 0.747  0.00
O: 0.750 0.835 0.010  -0.02
O: 0.750 0.506 0.984  -0.01
O: 0.556 0.641 0.127  -0.01
O: 0.250 0.494 0.016  -0.01
O: 0.950 0.085 0.130  -0.01
O: 0.750 0.142 0.951  -0.09
O: 0.450 0.585 0.370  -0.01
O: 0.444 0.141 0.373  -0.01
O: 0.750 0.540 0.775  -0.01
O: 0.250 0.858 0.049  -0.09
O: 0.250 0.775 0.247  0.00
O: 0.750 0.665 0.510  -0.02
O: 0.050 0.585 0.370  -0.01
O: 0.944 0.859 0.627  -0.01
O: 0.550 0.415 0.630  -0.01
O: 0.944 0.641 0.127  -0.01
O: 0.250 0.460 0.225  -0.01
P: 0.750 0.401 0.694  0.01
P: 0.750 0.099 0.194  0.01
P: 0.750 0.648 0.061  0.01
P: 0.250 0.148 0.439  0.01
P: 0.250 0.352 0.939  0.01
P: 0.250 0.599 0.306  0.01
P: 0.750 0.852 0.561  0.01
P: 0.250 0.901 0.806  0.01
Na: 0.750 0.853 0.779  0.00
Na: 0.250 0.353 0.721  0.00
Na: 0.250 0.147 0.221  0.00
Na: 0.750 0.647 0.279  0.00
V: 0.750 0.158 0.381  1.21
V: 0.750 0.342 0.881  1.21
V: 0.250 0.842 0.619  1.21
V: 0.250 0.658 0.119  1.21
V: 0.000 0.500 0.500  1.72
V: 0.500 0.000 0.000  1.72
V: 0.500 0.500 0.500  1.72
V: 0.000 0.000 0.000  1.72

# 7
An optimized crystal structure of LaRh2Au. Source: the Alexandria database, functional GGA-PBEsol.

Results
Theoretical density   12.51 g/cm3
Crystal system   monoclinic
Formation enthalpy at 0 K   -0.181 eV/atom
Space group   C2/m, No. 12
Raw total energy   -26.3 eV per cell
V   72 Å³ per cell

Lattice parameters (Å, degrees): 3.049 5.406 5.406 114.37 104.56 104.56
Element x y z (fractional)
Rh: 0.000 0.500 0.000
Rh: 0.000 0.000 0.500
La: 0.500 0.500 0.500
Au: 0.500 0.000 0.000

# 8
An optimized crystal structure of LiOsSN2. Source: the Alexandria database, functional GGA-PBEsol.

Results
Theoretical density   6.01 g/cm3
Energy above the most stable polymorph in this dataset   0.0 meV/atom
Crystal system   tetragonal
Formation energy (no corrections)   0.169 eV per atom
Space group   P4/mmm, No. 123
Raw total energy   -34.8 eV per cell
V   71 Å³ per cell

Lattice parameters (Å, degrees): 3.743 3.743 5.070 90.00 90.00 90.00
Element x y z (fractional)
N: 0.500 0.000 0.000
N: 0.000 0.500 0.000
Os: 0.000 0.000 0.000
Li: 0.500 0.500 0.500
S: 0.000 0.000 0.500

# 9
An optimized crystal structure of SrSbTe2P. Source: the Alexandria database, functional GGA-PBEsol.

Results
Theoretical density   5.60 g/cm3
Crystal system   tetragonal
Formation energy (no corrections)   -0.270 eV per atom
Space group   P4/mmm, No. 123
Raw total energy   -20.6 eV per cell
V   147 Å³ per cell

Lattice parameters (Å, degrees): 5.288 5.273 5.273 90.00 90.00 90.00
Element x y z (fractional)
Te: 0.000 0.000 0.500
Te: 0.000 0.500 0.000
Sb: 0.500 0.000 0.000
Sr: 0.500 0.500 0.500
P: 0.000 0.000 0.000

# 10
An optimized crystal structure of Li2SiAg. Source: the Alexandria database, functional GGA-PBEsol.

Results
Theoretical density   4.31 g/cm3
Crystal system   orthorhombic
Formation energy (no corrections)   -0.189 eV per atom
Space group   Immm, No. 71
Raw total energy   -13.7 eV per cell
V   58 Å³ per cell

Lattice parameters (Å, degrees): 3.580 3.980 4.858 114.19 111.62 90.00
Element x y z (fractional)
Li: 0.749 0.749 0.499
Li: 0.251 0.251 0.501
Si: 0.000 0.500 0.000
Ag: 0.500 0.000 0.000

# 11
An optimized crystal structure of BaTa2SeBr. Source: the Alexandria database, functional GGA-PBEsol.

Results
Theoretical density   7.39 g/cm3
Crystal system   tetragonal
Formation energy (no corrections)   0.488 eV per atom
Space group   P4/mmm, No. 123
Raw total energy   -30.5 eV per cell
V   148 Å³ per cell

Lattice parameters (Å, degrees): 4.753 4.753 6.549 90.00 90.00 90.00
Site moments in Bohr magnetons follow the coordinates.
Element x y z (fractional)
Ba: 0.000 0.000 0.500  0.06
Ta: 0.000 0.500 0.000  0.56
Ta: 0.500 0.000 0.000  0.56
Se: 0.000 0.000 0.000  -0.01
Br: 0.500 0.500 0.500  0.08

# 12
An optimized crystal structure of Bi8Rh8O27. Source: the Alexandria database, functional GGA-PBEsol.

Results
Theoretical density   9.24 g/cm3
Crystal system   trigonal
Formation energy (no corrections)   -1.081 eV per atom
Space group   R3m, No. 160
Raw total energy   -287.6 eV per cell
V   526 Å³ per cell

Lattice parameters (Å, degrees): 7.192 7.192 12.450 73.21 73.21 60.00
Element x y z (fractional)
O: 0.626 0.210 0.955
O: 0.210 0.626 0.955
O: 0.879 0.291 0.539
O: 0.707 0.125 0.461
O: 0.918 0.496 0.668
O: 0.083 0.500 0.334
O: 0.496 0.918 0.668
O: 0.125 0.707 0.461
O: 0.994 0.585 0.835
O: 0.416 0.003 0.166
O: 0.083 0.083 0.334
O: 0.500 0.083 0.334
O: 0.291 0.291 0.539
O: 0.918 0.918 0.668
O: 0.707 0.707 0.461
O: 0.378 0.790 0.042
O: 0.003 0.416 0.166
O: 0.790 0.790 0.042
O: 0.790 0.378 0.042
O: 0.210 0.210 0.955
O: 0.585 0.585 0.835
O: 0.069 0.069 0.792
O: 0.585 0.994 0.835
O: 0.291 0.879 0.539
O: 0.939 0.939 0.184
O: 0.556 0.556 0.333
O: 0.416 0.416 0.166
Bi: 0.748 0.250 0.253
Bi: 0.002 0.002 0.995
Bi: 0.258 0.739 0.745
Bi: 0.258 0.258 0.745
Bi: 0.250 0.748 0.253
Bi: 0.495 0.495 0.515
Bi: 0.748 0.748 0.253
Bi: 0.739 0.258 0.745
Rh: 0.250 0.250 0.250
Rh: 0.501 0.501 0.000
Rh: 0.501 0.998 0.000
Rh: 0.749 0.749 0.752
Rh: 0.500 0.001 0.499
Rh: 0.001 0.500 0.499
Rh: 0.001 0.001 0.499
Rh: 0.998 0.501 0.000

# 13
An optimized crystal structure of CrP2H15N2O11. Source: the Alexandria database, functional GGA-PBEsol.

Results
Theoretical density   2.02 g/cm3
Crystal system   monoclinic
Space group   C2/m, No. 12
Raw total energy   -370.4 eV per cell
V   547 Å³ per cell

Lattice parameters (Å, degrees): 7.299 8.806 8.806 85.80 79.47 79.47
Site moments in Bohr magnetons follow the coordinates.
Element x y z (fractional)
H: 0.972 0.996 0.756  0.00
H: 0.034 0.740 0.602  0.00
H: 0.679 0.028 0.028  0.00
H: 0.238 0.353 0.019  0.00
H: 0.493 0.034 0.170  0.00
H: 0.493 0.170 0.034  0.00
H: 0.838 0.961 0.355  0.00
H: 0.762 0.981 0.647  0.00
H: 0.034 0.602 0.740  0.00
H: 0.762 0.647 0.981  0.00
H: 0.794 0.411 0.411  0.00
H: 0.838 0.355 0.961  0.00
H: 0.266 0.853 0.273  0.00
H: 0.162 0.645 0.039  0.00
H: 0.238 0.019 0.353  0.00
H: 0.028 0.004 0.244  0.00
H: 0.500 0.317 0.683  0.00
H: 0.162 0.039 0.645  0.00
H: 0.734 0.727 0.147  0.00
H: 0.966 0.398 0.260  0.00
H: 0.028 0.244 0.004  0.00
H: 0.972 0.756 0.996  0.00
H: 0.206 0.589 0.589  0.00
H: 0.966 0.260 0.398  0.00
H: 0.266 0.273 0.853  0.00
H: 0.507 0.830 0.966  0.00
H: 0.507 0.966 0.830  0.00
H: 0.734 0.147 0.727  0.00
H: 0.321 0.972 0.972  0.00
H: 0.500 0.683 0.317  0.00
O: 0.719 0.590 0.590  0.00
O: 0.552 0.182 0.413  0.01
O: 0.118 0.744 0.979  0.00
O: 0.118 0.979 0.744  0.00
O: 0.882 0.021 0.256  0.00
O: 0.762 0.033 0.745  0.00
O: 0.205 0.490 0.144  0.00
O: 0.646 0.714 0.340  0.00
O: 0.205 0.144 0.490  0.00
O: 0.795 0.856 0.510  0.00
O: 0.281 0.410 0.410  0.00
O: 0.448 0.587 0.818  0.01
O: 0.552 0.413 0.182  0.01
O: 0.238 0.255 0.967  0.00
O: 0.882 0.256 0.021  0.00
O: 0.795 0.510 0.856  0.00
O: 0.238 0.967 0.255  0.00
O: 0.354 0.660 0.286  0.00
O: 0.448 0.818 0.587  0.01
O: 0.354 0.286 0.660  0.00
O: 0.646 0.340 0.714  0.00
O: 0.762 0.745 0.033  0.00
P: 0.647 0.507 0.756  0.00
P: 0.353 0.493 0.244  0.00
P: 0.353 0.244 0.493  0.00
P: 0.647 0.756 0.507  0.00
N: 0.122 0.665 0.665  -0.03
N: 0.580 0.101 0.101  -0.03
N: 0.420 0.899 0.899  -0.03
N: 0.878 0.335 0.335  -0.03
Cr: 0.721 0.220 0.220  2.82
Cr: 0.279 0.780 0.780  2.82

# 14
An optimized crystal structure of CoNiSe2Br. Source: the Alexandria database, functional GGA-PBEsol.

Results
Theoretical density   5.84 g/cm3
Crystal system   tetragonal
Formation energy (no corrections)   0.734 eV per atom
Space group   P4/mmm, No. 123
Raw total energy   -19.8 eV per cell
V   101 Å³ per cell

Lattice parameters (Å, degrees): 4.593 4.593 4.791 90.00 90.00 90.00
Site moments in Bohr magnetons follow the coordinates.
Element x y z (fractional)
Se: 0.000 0.500 0.000  0.18
Se: 0.500 0.000 0.000  0.18
Br: 0.000 0.000 0.500  0.13
Co: 0.500 0.500 0.500  2.27
Ni: 0.000 0.000 0.000  0.12

# 15
An optimized crystal structure of Li4Cr3FeO8. Source: the Alexandria database, functional GGA-PBEsol.

Results
Theoretical density   4.53 g/cm3
Energy above the most stable polymorph in this dataset   6.5 meV/atom
Crystal system   monoclinic
Formation energy (no corrections)   -1.917 eV per atom
Space group   C2/m, No. 12
Raw total energy   -120.2 eV per cell
V   135 Å³ per cell

Lattice parameters (Å, degrees): 5.006 5.741 5.741 119.98 106.64 73.36
Site moments in Bohr magnetons follow the coordinates.
Element x y z (fractional)
Cr: 0.500 0.000 0.000  2.70
Cr: 0.500 0.500 0.000  2.70
Cr: 0.500 0.000 0.500  2.70
Li: 0.005 0.748 0.252  0.00
Li: 0.000 0.746 0.746  0.00
Li: 0.000 0.254 0.254  0.00
Li: 0.995 0.252 0.748  0.00
O: 0.274 0.867 0.627  0.01
O: 0.726 0.627 0.867  0.01
O: 0.275 0.373 0.627  0.02
O: 0.727 0.129 0.871  0.03
O: 0.274 0.373 0.133  0.01
O: 0.726 0.133 0.373  0.01
O: 0.273 0.871 0.129  0.03
O: 0.725 0.627 0.373  0.02
Fe: 0.500 0.500 0.500  1.13

# 16
An optimized crystal structure of Cs2H4Pt. Source: the Alexandria database, functional GGA-PBEsol.

Results
Theoretical density   4.89 g/cm3
Crystal system   tetragonal
Space group   P4_2/mnm, No. 136
Raw total energy   -49.7 eV per cell
V   316 Å³ per cell

Lattice parameters (Å, degrees): 6.075 6.075 8.550 90.00 90.00 90.00
Site moments in Bohr magnetons follow the coordinates.
Element x y z (fractional)
H: 0.500 0.500 0.307  0.00
H: 0.308 0.692 0.500  0.00
H: 0.000 0.000 0.807  0.00
H: 0.500 0.500 0.693  0.00
H: 0.808 0.808 0.000  0.00
H: 0.000 0.000 0.193  0.00
H: 0.692 0.308 0.500  0.00
H: 0.192 0.192 0.000  0.00
Cs: 0.500 0.000 0.250  0.00
Cs: 0.500 0.000 0.750  0.00
Cs: 0.000 0.500 0.250  0.00
Cs: 0.000 0.500 0.750  0.00
Pt: 0.500 0.500 0.500  0.07
Pt: 0.000 0.000 0.000  0.07

# 17
An optimized crystal structure of CaMg2HgOs. Source: the Alexandria database, functional GGA-PBEsol.

Results
Theoretical density   5.77 g/cm3
Crystal system   tetragonal
Formation enthalpy at 0 K   1.609 eV/atom
Space group   P4/mmm, No. 123
Raw total energy   -10.3 eV per cell
V   138 Å³ per cell

Lattice parameters (Å, degrees): 4.577 5.490 5.490 90.00 90.00 90.00
Element x y z (fractional)
Os: 0.500 0.000 0.000
Hg: 0.500 0.500 0.500
Ca: 0.000 0.000 0.000
Mg: 0.000 0.000 0.500
Mg: 0.000 0.500 0.000

# 18
An optimized crystal structure of InAg2Pt. Source: the Alexandria database, functional GGA-PBEsol.

Results
Theoretical density   12.93 g/cm3
Crystal system   tetragonal
Formation enthalpy at 0 K   -0.186 eV/atom
Space group   I-4m2, No. 119
Raw total energy   -17.3 eV per cell
V   68 Å³ per cell

Lattice parameters (Å, degrees): 4.189 4.189 4.855 115.56 115.56 90.00
Element x y z (fractional)
Ag: 0.750 0.250 0.500
Ag: 0.500 0.500 0.000
Pt: 0.250 0.750 0.500
In: 0.000 0.000 0.000

# 19
An optimized crystal structure of AlAgP2. Source: the Alexandria database, functional GGA-PBEsol.

Results
Theoretical density   4.74 g/cm3
Crystal system   trigonal
Formation enthalpy at 0 K   0.071 eV/atom
Space group   P3m1, No. 156
Raw total energy   -18.7 eV per cell
V   69 Å³ per cell

Lattice parameters (Å, degrees): 3.304 3.304 7.289 90.00 90.00 120.00
Element x y z (fractional)
P: 0.333 0.667 0.786
P: 0.667 0.333 0.220
Ag: 0.333 0.667 0.456
Al: 0.000 0.000 0.993